NpSeF: relaxed, PBE.

Properties
* symmetry: No. 107
* electronic total energy: -7.8886 eV/atom

Unit cell a=5.374 b=5.374 c=5.374 alpha=142.45 beta=142.45 gamma=54.15
Fractional positions:
Np1 0.000 0.000 0.000
Se1 0.324 0.324 0.000
F1 0.608 0.608 0.000

OsRh2Br: relaxed, PBE.

Properties
* symmetry: No. 99
* energy relative to the lowest polymorph listed for this composition: 275 meV per atom

Unit cell a=2.899 b=2.899 c=7.510 alpha=90.00 beta=90.00 gamma=90.00
Fractional positions:
Os1 0.000 0.000 0.000
Rh1 0.000 0.000 0.470
Rh2 0.500 0.500 0.220
Br1 0.500 0.500 0.738